(1)
DFT (PBE) results for a relaxed structure of Tl12RhO7.

Symmetry: R-3
V: 23.809 Å³/atom
E_tot: -4.07 eV per atom

Lattice parameters (Å, degrees): 8.455 8.455 8.455 108.82 108.82 108.82
Sites, in units of the cell vectors:
Rh 0.000 0.000 0.000
Tl 0.839 0.626 0.546
O 0.726 0.901 0.961
O 0.274 0.099 0.039
Tl 0.222 0.073 0.726
Tl 0.274 0.778 0.927
Tl 0.546 0.839 0.626
O 0.500 0.500 0.500
O 0.961 0.726 0.901
Tl 0.927 0.274 0.778
O 0.039 0.274 0.099
Tl 0.374 0.454 0.161
Tl 0.778 0.927 0.274
Tl 0.454 0.161 0.374
Tl 0.161 0.374 0.454
O 0.901 0.961 0.726
Tl 0.626 0.546 0.839
Tl 0.073 0.726 0.222
O 0.099 0.039 0.274
Tl 0.726 0.222 0.073

=====

(2)
DFT (PBE) results for a relaxed structure of Cu3BPt.

Symmetry: Pm-3m
V: 12.196 Å³/atom
Offset from the most stable computed form: 0 meV per atom
E_tot: -4.78 eV per atom

Lattice parameters (Å, degrees): 3.936 3.936 3.936 90.00 90.00 90.00
Sites, in units of the cell vectors:
Cu 0.000 0.500 0.000
B 0.000 0.000 0.000
Cu 0.500 0.000 0.000
Cu 0.000 0.000 0.500
Pt 0.500 0.500 0.500

=====

(3)
DFT (PBE) results for a relaxed structure of Tb2Pm7Nd2.

Symmetry: P-1
V: 34.100 Å³/atom
Offset from the most stable computed form: 0 meV per atom
E_tot: -4.72 eV per atom

Lattice parameters (Å, degrees): 6.309 6.301 11.513 89.91 56.76 80.34
Sites, in units of the cell vectors:
Tb 0.817 0.365 0.455
Tb 0.183 0.635 0.545
Pm 0.089 0.819 0.275
Pm 0.453 0.092 0.365
Nd 0.638 0.727 0.908
Pm 0.911 0.181 0.725
Nd 0.362 0.273 0.092
Pm 0.000 0.000 0.000
Pm 0.274 0.454 0.816
Pm 0.547 0.908 0.635
Pm 0.726 0.546 0.184

=====

(4)
DFT (PBE) results for a relaxed structure of La2MgI2Br4.

Symmetry: P3m1
V: 39.510 Å³/atom
E_tot: -3.85 eV per atom

Lattice parameters (Å, degrees): 4.128 4.128 24.095 90.00 90.00 120.00
Each line ends with the local moment (μB).
Sites, in units of the cell vectors:
Br 0.667 0.333 0.899  0.01
Br 0.000 0.000 0.732  0.01
Br 0.667 0.333 0.058  0.01
La 0.667 0.333 0.652  0.41
I 0.667 0.333 0.405  0.00
Mg 0.000 0.000 0.328  0.00
I 0.667 0.333 0.252  0.00
Br 0.000 0.000 0.572  0.01
La 0.000 0.000 0.979  0.41

=====

(5)
DFT (PBE) results for a relaxed structure of Th2NpPt9.

Symmetry: P4/mmm
V: 18.662 Å³/atom
Offset from the most stable computed form: 0 meV per atom
E_tot: -7.78 eV per atom

Lattice parameters (Å, degrees): 4.210 4.210 12.634 90.00 90.00 90.00
Each line ends with the local moment (μB).
Sites, in units of the cell vectors:
Pt 0.500 0.000 0.836  0.00
Pt 0.500 0.000 0.164  0.00
Pt 0.500 0.500 0.333  -0.01
Pt 0.000 0.500 0.500  0.00
Pt 0.500 0.500 0.000  0.00
Np 0.000 0.000 0.000  3.36
Th 0.000 0.000 0.669  0.00
Th 0.000 0.000 0.331  0.00
Pt 0.500 0.000 0.500  0.00
Pt 0.000 0.500 0.164  0.00
Pt 0.000 0.500 0.836  0.00
Pt 0.500 0.500 0.667  -0.01

=====

(6)
DFT (PBE) results for a relaxed structure of Sm4ErCo2.

Symmetry: P2_1/m
V: 25.725 Å³/atom
E_tot: -5.36 eV per atom

Lattice parameters (Å, degrees): 6.476 7.741 7.803 112.97 90.00 90.00
Sites, in units of the cell vectors:
Sm 0.997 0.412 0.761
Er 0.250 0.840 0.969
Sm 0.250 0.979 0.626
Sm 0.250 0.247 0.327
Sm 0.503 0.412 0.761
Co 0.750 0.747 0.009
Co 0.250 0.253 0.991
Co 0.250 0.631 0.598
Sm 0.497 0.588 0.239
Sm 0.003 0.588 0.239
Sm 0.750 0.753 0.673
Co 0.750 0.369 0.402
Sm 0.750 0.021 0.374
Er 0.750 0.160 0.031

=====

(7)
DFT (PBE) results for a relaxed structure of Pr5Ho2Er.

Symmetry: C2/c
V: 36.202 Å³/atom
Offset from the most stable computed form: 205 meV per atom
E_tot: -4.38 eV per atom

Lattice parameters (Å, degrees): 14.096 14.096 12.742 51.00 51.00 99.37
Sites, in units of the cell vectors:
Pr 0.827 0.543 0.779
Pr 0.199 0.019 0.746
Pr 0.981 0.801 0.754
Ho 0.000 0.500 0.500
Er 0.250 0.750 0.750
Pr 0.801 0.981 0.254
Ho 0.500 0.000 0.000
Ho 0.500 0.500 0.000
Pr 0.019 0.199 0.246
Pr 0.413 0.587 0.250
Ho 0.500 0.500 0.500
Pr 0.543 0.827 0.279
Er 0.750 0.250 0.250
Pr 0.457 0.173 0.721
Pr 0.587 0.413 0.750
Pr 0.173 0.457 0.221

=====

(8)
DFT (PBE) results for a relaxed structure of KBaV3.

Symmetry: Pm-3m
V: 29.954 Å³/atom
Offset from the most stable computed form: 238 meV per atom
E_tot: -3.74 eV per atom

Lattice parameters (Å, degrees): 5.311 5.311 5.311 90.00 90.00 90.00
Each line ends with the local moment (μB).
Sites, in units of the cell vectors:
Ba 0.000 0.000 0.000  -0.03
V 0.500 0.000 0.000  2.15
K 0.500 0.500 0.500  0.01
V 0.000 0.000 0.500  2.15
V 0.000 0.500 0.000  2.15

=====

(9)
DFT (PBE) results for a relaxed structure of Nb7Sn2N2.

Symmetry: C2/m
V: 17.818 Å³/atom
E_tot: -8.87 eV per atom

Lattice parameters (Å, degrees): 5.716 6.184 6.184 116.28 89.71 89.71
Sites, in units of the cell vectors:
Nb 0.683 0.468 0.861
Nb 0.317 0.139 0.532
Nb 0.736 0.362 0.362
Nb 0.317 0.532 0.139
Nb 0.500 0.000 0.000
N 0.634 0.682 0.682
N 0.366 0.318 0.318
Sn 0.000 0.870 0.130
Nb 0.264 0.638 0.638
Sn 0.000 0.130 0.870
Nb 0.683 0.861 0.468

=====

(10)
DFT (PBE) results for a relaxed structure of SnAs2C.

Symmetry: I-42d
V: 19.492 Å³/atom
Offset from the most stable computed form: 0 meV per atom
E_tot: -4.93 eV per atom

Lattice parameters (Å, degrees): 6.407 6.407 5.912 57.19 57.19 90.00
Sites, in units of the cell vectors:
As 0.515 0.125 0.250
As 0.235 0.625 0.250
As 0.875 0.765 0.750
Sn 0.750 0.250 0.500
C 0.500 0.500 0.000
C 0.250 0.750 0.500
As 0.375 0.485 0.750
Sn 0.000 0.000 0.000

=====

(11)
DFT (PBE) results for a relaxed structure of HfPb2Se.

Symmetry: I-42d
V: 37.664 Å³/atom
E_tot: -4.60 eV per atom

Lattice parameters (Å, degrees): 6.547 6.547 8.418 67.12 67.12 90.00
Sites, in units of the cell vectors:
Pb 0.375 0.375 0.750
Se 0.500 0.500 0.000
Hf 0.750 0.250 0.500
Pb 0.875 0.875 0.750
Hf 0.000 0.000 0.000
Pb 0.625 0.125 0.250
Se 0.250 0.750 0.500
Pb 0.125 0.625 0.250

=====

(12)
DFT (PBE) results for a relaxed structure of ZnFeNi2.

Symmetry: P4/mmm
V: 11.840 Å³/atom
E_tot: -5.39 eV per atom

Lattice parameters (Å, degrees): 3.446 3.707 3.707 90.00 90.00 90.00
Each line ends with the local moment (μB).
Sites, in units of the cell vectors:
Fe 0.500 0.000 0.500  2.80
Zn 0.500 0.500 0.000  -0.04
Ni 0.000 0.500 0.500  0.54
Ni 0.000 0.000 0.000  0.54